Entry 1:
MnCoB2 | PBE | relaxed

Geometry as CIF:
```
data_MnCoB2
_cell_length_a 5.002
_cell_length_b 5.002
_cell_length_c 5.002
_cell_angle_alpha 90.00
_cell_angle_beta 90.00
_cell_angle_gamma 90.00
_space_group_name_H-M_alt 'F m -3 m'
_space_group_IT_number 225
_space_group_name_Hall '-F 4 2 3'
loop_
_atom_site_label
_atom_site_fract_x
_atom_site_fract_y
_atom_site_fract_z
_atom_site_occupancy
Mn1 0.000 0.000 0.000 1
Co1 0.000 0.000 0.500 1
B1 0.250 0.250 0.250 1
```

Results
E_tot   -7.4610 eV/atom
Energy relative to the elements   -0.053 eV/atom
ΔE to the lowest computed polymorph   1.366 eV/f.u.



Entry 2:
RbNa2AsO | PBE | relaxed

Geometry as CIF:
```
data_RbNa2AsO
_cell_length_a 6.034
_cell_length_b 6.034
_cell_length_c 4.328
_cell_angle_alpha 90.00
_cell_angle_beta 90.00
_cell_angle_gamma 90.00
_space_group_name_H-M_alt 'P 4/m m m'
_space_group_IT_number 123
_space_group_name_Hall '-P 4 2'
loop_
_atom_site_label
_atom_site_fract_x
_atom_site_fract_y
_atom_site_fract_z
_atom_site_occupancy
Rb1 0.000 0.000 0.000 1
Na1 0.000 0.500 0.000 1
As1 0.500 0.500 0.500 1
O1 0.000 0.000 0.500 1
```

Results
E_tot   -2.3478 eV/atom
Formation energy (no corrections)   0.295 eV per atom



Entry 3:
RbInAsSe2 | PBE | relaxed

Geometry as CIF:
```
data_RbInAsSe2
_cell_length_a 5.508
_cell_length_b 5.508
_cell_length_c 5.352
_cell_angle_alpha 90.00
_cell_angle_beta 90.00
_cell_angle_gamma 90.00
_space_group_name_H-M_alt 'P 4/m m m'
_space_group_IT_number 123
_space_group_name_Hall '-P 4 2'
loop_
_atom_site_label
_atom_site_fract_x
_atom_site_fract_y
_atom_site_fract_z
_atom_site_occupancy
Rb1 0.000 0.000 0.000 1
In1 0.500 0.500 0.500 1
As1 0.500 0.500 0.000 1
Se1 0.000 0.500 0.500 1
```

Results
E_tot   -3.1279 eV/atom
ΔE to the lowest computed polymorph   0.000 eV/f.u.
Formation energy (no corrections)   -0.063 eV per atom



Entry 4:
AcLaAl2 | PBE | relaxed

Geometry as CIF:
```
data_AcLaAl2
_cell_length_a 3.886
_cell_length_b 3.886
_cell_length_c 7.731
_cell_angle_alpha 90.00
_cell_angle_beta 90.00
_cell_angle_gamma 90.00
_space_group_name_H-M_alt 'P 4/m m m'
_space_group_IT_number 123
_space_group_name_Hall '-P 4 2'
loop_
_atom_site_label
_atom_site_fract_x
_atom_site_fract_y
_atom_site_fract_z
_atom_site_occupancy
Ac1 0.000 0.000 0.000 1
La1 0.000 0.000 0.500 1
Al1 0.500 0.500 0.264 1
```

Results
E_tot   -4.4156 eV/atom
Energy relative to the elements   -0.285 eV/atom



Entry 5:
Pr2CdIn | PBE | relaxed

Geometry as CIF:
```
data_Pr2CdIn
_cell_length_a 5.513
_cell_length_b 5.513
_cell_length_c 3.900
_cell_angle_alpha 90.00
_cell_angle_beta 90.00
_cell_angle_gamma 90.00
_space_group_name_H-M_alt 'P 4/m m m'
_space_group_IT_number 123
_space_group_name_Hall '-P 4 2'
loop_
_atom_site_label
_atom_site_fract_x
_atom_site_fract_y
_atom_site_fract_z
_atom_site_occupancy
Pr1 0.000 0.500 0.000 1
Cd1 0.000 0.000 0.500 1
In1 0.500 0.500 0.500 1
```

Results
E_tot   -3.7075 eV/atom
Energy relative to the elements   -0.404 eV/atom



Entry 6:
NdHo2Sc | PBE | relaxed

Geometry as CIF:
```
data_NdHo2Sc
_cell_length_a 3.509
_cell_length_b 3.509
_cell_length_c 9.869
_cell_angle_alpha 90.00
_cell_angle_beta 90.00
_cell_angle_gamma 90.00
_space_group_name_H-M_alt 'P 4/m m m'
_space_group_IT_number 123
_space_group_name_Hall '-P 4 2'
loop_
_atom_site_label
_atom_site_fract_x
_atom_site_fract_y
_atom_site_fract_z
_atom_site_occupancy
Nd1 0.000 0.000 0.000 1
Ho1 0.500 0.500 0.266 1
Sc1 0.000 0.000 0.500 1
```

Results
E_tot   -5.0158 eV/atom
Energy relative to the elements   0.048 eV/atom
ΔE to the lowest computed polymorph   0.076 eV/f.u.



Entry 7:
Hg2I2Cl | PBE | relaxed

Geometry as CIF:
```
data_Hg2I2Cl
_cell_length_a 6.176
_cell_length_b 6.176
_cell_length_c 8.358
_cell_angle_alpha 90.00
_cell_angle_beta 90.00
_cell_angle_gamma 90.00
_space_group_name_H-M_alt 'I 4/m m m'
_space_group_IT_number 139
_space_group_name_Hall '-I 4 2'
loop_
_atom_site_label
_atom_site_fract_x
_atom_site_fract_y
_atom_site_fract_z
_atom_site_occupancy
Hg1 0.000 0.000 0.174 1
I1 0.000 0.500 0.250 1
Cl1 0.000 0.000 0.500 1
```

Results
E_tot   -1.2548 eV/atom
ΔE to the lowest computed polymorph   0.247 eV/f.u.
Formation energy (no corrections)   -0.145 eV per atom



Entry 8:
BaMnZn2Ge | PBE | relaxed

Geometry as CIF:
```
data_BaMnZn2Ge
_cell_length_a 4.894
_cell_length_b 4.894
_cell_length_c 4.639
_cell_angle_alpha 90.00
_cell_angle_beta 90.00
_cell_angle_gamma 90.00
_space_group_name_H-M_alt 'P 4/m m m'
_space_group_IT_number 123
_space_group_name_Hall '-P 4 2'
loop_
_atom_site_label
_atom_site_fract_x
_atom_site_fract_y
_atom_site_fract_z
_atom_site_occupancy
Ba1 0.000 0.000 0.000 1
Mn1 0.500 0.500 0.500 1
Zn1 0.000 0.500 0.500 1
Ge1 0.500 0.500 0.000 1
```

Results
E_tot   -3.7851 eV/atom
Energy relative to the elements   -0.134 eV/atom